# Ho2CoPtO6 | Alexandria via LeMat-Bulk | GGA+U | relaxed
# Raw total energy (eV per atom): -7.1958
data_Ho2CoPtO6
_symmetry_space_group_name_H-M 'P 1 21/c 1'
_symmetry_Int_Tables_number 14
_cell_length_a 5.306
_cell_length_b 5.764
_cell_length_c 9.328
_cell_angle_alpha 90.00
_cell_angle_beta 124.64
_cell_angle_gamma 90.00
loop_
_symmetry_equiv_pos_as_xyz
'x,y,z'
'-x,-y,-z'
'-x,y+1/2,-z+1/2'
'x,-y+1/2,z+1/2'
loop_
_atom_site_label
_atom_site_type_symbol
_atom_site_fract_x
_atom_site_fract_y
_atom_site_fract_z
Ho1 Ho 0.223 0.077 0.250
Co1 Co 0.000 0.000 0.500
Pt1 Pt 0.500 0.000 0.000
O1 O 0.122 0.189 0.939
O2 O 0.254 0.695 0.936
O3 O 0.380 0.052 0.751